No. 1
# MnBP3, relaxed, DFT GGA-PBE
data_MnBP3
_chemical_formula_sum 'Mn1 B1 P3'
_symmetry_space_group_name_H-M 'P m -3 m'
_symmetry_Int_Tables_number 221
_symmetry_space_group_name_Hall '-P 4 2 3'
_cell_length_a 4.315
_cell_length_b 4.315
_cell_length_c 4.315
_cell_angle_alpha 90.00
_cell_angle_beta 90.00
_cell_angle_gamma 90.00
loop_
_atom_site_label
_atom_site_type_symbol
_atom_site_fract_x
_atom_site_fract_y
_atom_site_fract_z
_atom_site_occupancy
Mn1 Mn 0.000 0.000 0.000 1
B1 B 0.500 0.500 0.500 1
P1 P 0.000 0.000 0.500 1
# Mass density   3.3 g/cm3
# Energy above the lowest structure with this stoichiometry   0.92 eV/f.u.
# Total magnetic moment   0.003 μB/cell


No. 2
# Mn2BP2, relaxed, DFT GGA-PBE
data_Mn2BP2
_chemical_formula_sum 'Mn4 B2 P4'
_symmetry_space_group_name_H-M 'P 4/m b m'
_symmetry_Int_Tables_number 127
_symmetry_space_group_name_Hall '-P 4 2ab'
_cell_length_a 5.624
_cell_length_b 5.624
_cell_length_c 3.383
_cell_angle_alpha 90.00
_cell_angle_beta 90.00
_cell_angle_gamma 90.00
loop_
_atom_site_label
_atom_site_type_symbol
_atom_site_fract_x
_atom_site_fract_y
_atom_site_fract_z
_atom_site_occupancy
Mn1 Mn 0.161 0.339 0.000 1
B1 B 0.000 0.000 0.000 1
P1 P 0.146 0.646 0.500 1
# Mass density   5.7 g/cm3
# Energy above the lowest structure with this stoichiometry   0.00 eV/f.u.
# Total magnetic moment   0.000 μB/cell


No. 3
# MnBP, relaxed, DFT GGA-PBE
data_MnBP
_chemical_formula_sum 'Mn1 B1 P1'
_symmetry_space_group_name_H-M 'P 4 m m'
_symmetry_Int_Tables_number 99
_cell_length_a 2.658
_cell_length_b 2.658
_cell_length_c 4.333
_cell_angle_alpha 90.00
_cell_angle_beta 90.00
_cell_angle_gamma 90.00
loop_
_symmetry_equiv_pos_as_xyz
'x,y,z'
'-y,x,z'
'-x,-y,z'
'y,-x,z'
'-x,y,z'
'y,x,z'
'x,-y,z'
'-y,-x,z'
loop_
_atom_site_label
_atom_site_type_symbol
_atom_site_fract_x
_atom_site_fract_y
_atom_site_fract_z
_atom_site_occupancy
Mn1 Mn 0.000 0.000 0.000 1
B1 B 0.500 0.500 0.259 1
P1 P 0.500 0.500 0.702 1
# Mass density   5.2 g/cm3
# Energy above the lowest structure with this stoichiometry   0.22 eV/f.u.
# Total magnetic moment   0.000 μB/cell


No. 4
# Mn2BP2, relaxed, DFT GGA-PBE
data_Mn2BP2
_chemical_formula_sum 'Mn4 B2 P4'
_symmetry_space_group_name_H-M 'I 4/m m m'
_symmetry_Int_Tables_number 139
_symmetry_space_group_name_Hall '-I 4 2'
_cell_length_a 3.218
_cell_length_b 3.218
_cell_length_c 10.890
_cell_angle_alpha 90.00
_cell_angle_beta 90.00
_cell_angle_gamma 90.00
loop_
_atom_site_label
_atom_site_type_symbol
_atom_site_fract_x
_atom_site_fract_y
_atom_site_fract_z
_atom_site_occupancy
Mn1 Mn 0.000 0.000 0.109 1
B1 B 0.000 0.000 0.500 1
P1 P 0.000 0.500 0.250 1
# Mass density   5.4 g/cm3
# Energy above the lowest structure with this stoichiometry   1.21 eV/f.u.
# Total magnetic moment   0.001 μB/cell


No. 5
# MnBP3, relaxed, DFT GGA-PBE
data_MnBP3
_chemical_formula_sum 'Mn1 B1 P3'
_symmetry_space_group_name_H-M 'P m -3 m'
_symmetry_Int_Tables_number 221
_symmetry_space_group_name_Hall '-P 4 2 3'
_cell_length_a 3.987
_cell_length_b 3.987
_cell_length_c 3.987
_cell_angle_alpha 90.00
_cell_angle_beta 90.00
_cell_angle_gamma 90.00
loop_
_atom_site_label
_atom_site_type_symbol
_atom_site_fract_x
_atom_site_fract_y
_atom_site_fract_z
_atom_site_occupancy
Mn1 Mn 0.000 0.000 0.000 1
B1 B 0.500 0.500 0.500 1
P1 P 0.000 0.500 0.500 1
# Mass density   4.2 g/cm3
# Energy above the lowest structure with this stoichiometry   0.00 eV/f.u.
# Total magnetic moment   0.000 μB/cell


No. 6
# MnBP, relaxed, DFT GGA-PBE
data_MnBP
_chemical_formula_sum 'Mn2 B2 P2'
_symmetry_space_group_name_H-M 'C 1 m 1'
_symmetry_Int_Tables_number 8
_cell_length_a 6.517
_cell_length_b 3.025
_cell_length_c 4.103
_cell_angle_alpha 90.00
_cell_angle_beta 118.58
_cell_angle_gamma 90.00
loop_
_symmetry_equiv_pos_as_xyz
'x,y,z'
'x,-y,z'
'x+1/2,y+1/2,z'
'x+1/2,-y+1/2,z'
loop_
_atom_site_label
_atom_site_type_symbol
_atom_site_fract_x
_atom_site_fract_y
_atom_site_fract_z
_atom_site_occupancy
Mn1 Mn 0.000 0.000 0.000 1
B1 B 0.177 0.500 0.931 1
P1 P 0.193 0.000 0.631 1
# Mass density   4.5 g/cm3
# Energy above the lowest structure with this stoichiometry   0.59 eV/f.u.
# Total magnetic moment   0.000 μB/cell


No. 7
# MnBP, relaxed, DFT GGA-PBE
data_MnBP
_chemical_formula_sum 'Mn2 B2 P2'
_symmetry_space_group_name_H-M 'A m m 2'
_symmetry_Int_Tables_number 38
_cell_length_a 2.958
_cell_length_b 2.836
_cell_length_c 8.059
_cell_angle_alpha 90.00
_cell_angle_beta 90.00
_cell_angle_gamma 90.00
loop_
_symmetry_equiv_pos_as_xyz
'x,y,z'
'-x,-y,z'
'-x,y,z'
'x,-y,z'
'x,y+1/2,z+1/2'
'-x,-y+1/2,z+1/2'
'-x,y+1/2,z+1/2'
'x,-y+1/2,z+1/2'
loop_
_atom_site_label
_atom_site_type_symbol
_atom_site_fract_x
_atom_site_fract_y
_atom_site_fract_z
_atom_site_occupancy
Mn1 Mn 0.000 0.000 0.000 1
B1 B 0.500 0.000 0.553 1
P1 P 0.000 0.000 0.720 1
# Mass density   4.8 g/cm3
# Energy above the lowest structure with this stoichiometry   0.27 eV/f.u.
# Total magnetic moment   0.000 μB/cell


No. 8
# MnBP, relaxed, DFT GGA-PBE
data_MnBP
_chemical_formula_sum 'Mn1 B1 P1'
_symmetry_space_group_name_H-M 'P m m 2'
_symmetry_Int_Tables_number 25
_cell_length_a 2.693
_cell_length_b 2.886
_cell_length_c 3.927
_cell_angle_alpha 90.00
_cell_angle_beta 90.00
_cell_angle_gamma 90.00
loop_
_symmetry_equiv_pos_as_xyz
'x,y,z'
'-x,-y,z'
'-x,y,z'
'x,-y,z'
loop_
_atom_site_label
_atom_site_type_symbol
_atom_site_fract_x
_atom_site_fract_y
_atom_site_fract_z
_atom_site_occupancy
Mn1 Mn 0.000 0.000 0.000 1
B1 B 0.500 0.500 0.804 1
P1 P 0.500 0.000 0.471 1
# Mass density   5.3 g/cm3
# Energy above the lowest structure with this stoichiometry   0.25 eV/f.u.
# Total magnetic moment   0.071 μB/cell


No. 9
# MnBP, relaxed, DFT GGA-PBE
data_MnBP
_chemical_formula_sum 'Mn3 B3 P3'
_symmetry_space_group_name_H-M 'R 3 m'
_symmetry_Int_Tables_number 160
_symmetry_space_group_name_Hall 'R 3 -2"'
_cell_length_a 3.1473
_cell_length_b 3.1473
_cell_length_c 11.0706
_cell_angle_alpha 90.00
_cell_angle_beta 90.00
_cell_angle_gamma 120.00
loop_
_atom_site_label
_atom_site_type_symbol
_atom_site_fract_x
_atom_site_fract_y
_atom_site_fract_z
_atom_site_occupancy
Mn1 Mn 0.0000 0.0000 0.0000 1
B1 B 0.0000 0.0000 0.7939 1
P1 P 0.0000 0.0000 0.2023 1
# Mass density   5.1 g/cm3
# Energy above the lowest structure with this stoichiometry   0.00 eV/f.u.
# Total magnetic moment   5.567 μB/cell


No. 10
# MnBP2S, relaxed, DFT GGA-PBE
data_MnBP2S
_chemical_formula_sum 'Mn1 B1 P2 S1'
_symmetry_space_group_name_H-M 'P 4/m m m'
_symmetry_Int_Tables_number 123
_symmetry_space_group_name_Hall '-P 4 2'
_cell_length_a 3.955
_cell_length_b 3.955
_cell_length_c 4.172
_cell_angle_alpha 90.00
_cell_angle_beta 90.00
_cell_angle_gamma 90.00
loop_
_atom_site_label
_atom_site_type_symbol
_atom_site_fract_x
_atom_site_fract_y
_atom_site_fract_z
_atom_site_occupancy
Mn1 Mn 0.000 0.000 0.000 1
B1 B 0.500 0.500 0.500 1
P1 P 0.000 0.500 0.500 1
S1 S 0.500 0.500 0.000 1
# Formation energy from raw total energies   103 kJ/mol of atoms
# Mass density   4.1 g/cm3
# Energy above the lowest structure with this stoichiometry   0.00 eV/f.u.
# Total magnetic moment   0.066 μB/cell


No. 11
# MnBP2S, relaxed, DFT GGA-PBE
data_MnBP2S
_chemical_formula_sum 'Mn1 B1 P2 S1'
_symmetry_space_group_name_H-M 'P 4/m m m'
_symmetry_Int_Tables_number 123
_symmetry_space_group_name_Hall '-P 4 2'
_cell_length_a 4.199
_cell_length_b 4.199
_cell_length_c 4.936
_cell_angle_alpha 90.00
_cell_angle_beta 90.00
_cell_angle_gamma 90.00
loop_
_atom_site_label
_atom_site_type_symbol
_atom_site_fract_x
_atom_site_fract_y
_atom_site_fract_z
_atom_site_occupancy
Mn1 Mn 0.000 0.000 0.000 1
B1 B 0.500 0.500 0.500 1
P1 P 0.000 0.500 0.000 1
S1 S 0.000 0.000 0.500 1
# Formation energy from raw total energies   117 kJ/mol of atoms
# Mass density   3.0 g/cm3
# Energy above the lowest structure with this stoichiometry   0.75 eV/f.u.
# Total magnetic moment   0.992 μB/cell


No. 12
# Sc2MnBP, relaxed, DFT GGA-PBE
data_Sc2MnBP
_chemical_formula_sum 'Sc2 Mn1 B1 P1'
_symmetry_space_group_name_H-M 'P 4/m m m'
_symmetry_Int_Tables_number 123
_symmetry_space_group_name_Hall '-P 4 2'
_cell_length_a 4.793
_cell_length_b 4.793
_cell_length_c 4.262
_cell_angle_alpha 90.00
_cell_angle_beta 90.00
_cell_angle_gamma 90.00
loop_
_atom_site_label
_atom_site_type_symbol
_atom_site_fract_x
_atom_site_fract_y
_atom_site_fract_z
_atom_site_occupancy
Sc1 Sc 0.000 0.500 0.000 1
Mn1 Mn 0.000 0.000 0.500 1
B1 B 0.500 0.500 0.500 1
P1 P 0.000 0.000 0.000 1
# Total DFT energy (no corrections)   -6.45 eV per atom
# Mass density   3.2 g/cm3
# Total magnetic moment   3.370 μB/cell


No. 13
# Mn2TcBP, relaxed, DFT GGA-PBE
data_Mn2TcBP
_chemical_formula_sum 'Mn2 Tc1 B1 P1'
_symmetry_space_group_name_H-M 'P 4/m m m'
_symmetry_Int_Tables_number 123
_symmetry_space_group_name_Hall '-P 4 2'
_cell_length_a 3.775
_cell_length_b 3.775
_cell_length_c 4.088
_cell_angle_alpha 90.00
_cell_angle_beta 90.00
_cell_angle_gamma 90.00
loop_
_atom_site_label
_atom_site_type_symbol
_atom_site_fract_x
_atom_site_fract_y
_atom_site_fract_z
_atom_site_occupancy
Mn1 Mn 0.000 0.500 0.000 1
Tc1 Tc 0.000 0.000 0.500 1
B1 B 0.000 0.000 0.000 1
P1 P 0.500 0.500 0.500 1
# Total DFT energy (no corrections)   -7.88 eV per atom
# Mass density   7.1 g/cm3
# Total magnetic moment   0.000 μB/cell


No. 14
# TiMnB2P, relaxed, DFT GGA-PBE
data_TiMnB2P
_chemical_formula_sum 'Ti1 Mn1 B2 P1'
_symmetry_space_group_name_H-M 'P 4/m m m'
_symmetry_Int_Tables_number 123
_symmetry_space_group_name_Hall '-P 4 2'
_cell_length_a 3.862
_cell_length_b 3.862
_cell_length_c 4.135
_cell_angle_alpha 90.00
_cell_angle_beta 90.00
_cell_angle_gamma 90.00
loop_
_atom_site_label
_atom_site_type_symbol
_atom_site_fract_x
_atom_site_fract_y
_atom_site_fract_z
_atom_site_occupancy
Ti1 Ti 0.000 0.000 0.000 1
Mn1 Mn 0.500 0.500 0.000 1
B1 B 0.000 0.500 0.500 1
P1 P 0.500 0.500 0.500 1
# Total DFT energy (no corrections)   -6.24 eV per atom
# Mass density   4.2 g/cm3
# Total magnetic moment   1.626 μB/cell